1.
DFT (GGA+U) results for a relaxed structure of Na2TbCrO4.

Output
- Fermi-level density of states (states/eV per atom) = 0.00
- total energy (eV/atom) = -6.597

Cell: 3.2685 5.5866 5.8358 Å, 108.97 90.00 90.00°
Last column: magnetic moment on the atom in μB.
Fractional coordinates of all 8 atoms:
O 0.5000 0.7870 0.7977  -0.04
Na 0.5000 0.0000 0.5000  0.00
Tb 0.5000 0.5000 0.0000  0.00
O 0.0000 0.2403 0.7899  -0.01
O 0.0000 0.7597 0.2101  -0.01
O 0.5000 0.2130 0.2023  -0.04
Na 0.0000 0.5000 0.5000  0.00
Cr 0.0000 0.0000 0.0000  3.01

2.
DFT (GGA+U) results for a relaxed structure of NaTbCrO4.

Output
- Fermi-level density of states (states/eV per atom) = 0.00
- total energy (eV/atom) = -6.982

Cell: 5.7847 5.9484 6.8412 Å, 90.00 112.04 90.00°
Last column: magnetic moment on the atom in μB.
Fractional coordinates of all 14 atoms:
O 0.9774 0.0280 0.7024  -0.02
Tb 0.1889 0.2500 0.5319  0.02
Cr 0.7515 0.2500 0.6897  2.04
Cr 0.2485 0.7500 0.3103  2.04
O 0.4484 0.7500 0.1677  -0.03
O 0.5292 0.2500 0.4262  -0.01
Na 0.6394 0.7500 0.9308  0.00
O 0.0226 0.5280 0.2976  -0.02
O 0.4708 0.7500 0.5738  -0.01
O 0.0226 0.9720 0.2976  -0.02
O 0.5516 0.2500 0.8323  -0.03
Na 0.3606 0.2500 0.0692  0.00
Tb 0.8111 0.7500 0.4681  0.02
O 0.9774 0.4720 0.7024  -0.02

3.
DFT (GGA+U) results for a relaxed structure of Na2CrTcO6.

Output
- Fermi-level density of states (states/eV per atom) = 0.20
- total energy (eV/atom) = -6.566

Cell: 3.9729 5.4302 5.4302 Å, 90.00 90.00 90.00°
Last column: magnetic moment on the atom in μB.
Fractional coordinates of all 10 atoms:
Na 0.1593 0.0000 0.5000  0.00
O 0.6374 0.2591 0.7409  -0.01
O 0.1277 0.0000 0.0000  0.03
O 0.6374 0.7409 0.2591  -0.01
O 0.1389 0.5000 0.5000  0.02
Tc 0.6871 0.5000 0.5000  -0.05
O 0.6374 0.2591 0.2591  -0.01
O 0.6374 0.7409 0.7409  -0.01
Cr 0.6247 0.0000 0.0000  2.74
Na 0.1593 0.5000 0.0000  0.00

4.
DFT (GGA+U) results for a relaxed structure of NaCr2TcO8.

Output
- total energy (eV/atom) = -6.903

Cell: 4.6683 4.6612 6.1060 Å, 89.65 89.63 88.53°
Last column: magnetic moment on the atom in μB.
Fractional coordinates of all 12 atoms:
O 0.6992 0.7004 0.0039  -0.05
O 0.6734 0.6750 0.5101  -0.26
O 0.2024 0.7915 0.7881  -0.05
Cr 0.4942 0.4942 0.2575  2.33
Cr 0.5058 0.5058 0.7425  2.33
O 0.7976 0.2085 0.2119  -0.05
O 0.2072 0.7963 0.2119  -0.05
O 0.3266 0.3250 0.4899  -0.26
O 0.3008 0.2996 0.9961  -0.05
O 0.7928 0.2037 0.7881  -0.05
Tc 0.0000 0.0000 0.0000  0.17
Na 0.0000 0.0000 0.5000  0.00

5.
DFT (GGA+U) results for a relaxed structure of Na3Cr3TcO8.

Output
- total energy (eV/atom) = -6.893

Cell: 6.1075 6.1079 6.4967 Å, 118.04 90.00 120.00°
Last column: magnetic moment on the atom in μB.
Fractional coordinates of all 15 atoms:
O 0.7704 0.5407 0.3084  0.03
Cr 0.5000 0.5000 0.5000  3.05
O 0.7324 0.9620 0.6916  0.03
Cr 0.5000 0.0000 0.5000  3.05
Na 0.0000 0.5000 0.0000  0.00
O 0.7704 0.0380 0.3084  0.03
O 0.7314 0.4628 0.6941  -0.05
O 0.2676 0.0380 0.3084  0.03
O 0.2296 0.9620 0.6916  0.03
O 0.2296 0.4593 0.6916  0.03
Cr 0.0000 0.5000 0.5000  3.05
Tc 0.0000 0.0000 0.5000  2.33
Na 0.0000 0.0000 0.0000  0.00
O 0.2686 0.5372 0.3059  -0.05
Na 0.5000 0.5000 0.0000  0.00

6.
DFT (GGA+U) results for a relaxed structure of NaCr2TeO8.

Output
- Fermi-level density of states (states/eV per atom) = 0.31
- total energy (eV/atom) = -6.158

Cell: 4.8971 4.8968 6.6895 Å, 79.76 79.75 75.70°
Last column: magnetic moment on the atom in μB.
Fractional coordinates of all 12 atoms:
O 0.7577 0.2025 0.2194  -0.08
O 0.2028 0.7582 0.2194  -0.08
O 0.7465 0.7458 0.0420  -0.15
Na 0.0000 0.0000 0.5000  0.00
O 0.3396 0.3401 0.5215  -0.19
O 0.6604 0.6599 0.4785  -0.19
O 0.2535 0.2542 0.9580  -0.15
O 0.2423 0.7975 0.7806  -0.08
O 0.7972 0.2418 0.7806  -0.08
Cr 0.4457 0.4458 0.7236  2.00
Cr 0.5543 0.5542 0.2764  2.00
Te 0.0000 0.0000 0.0000  0.05

7.
DFT (GGA+U) results for a relaxed structure of NaCrTe2O6.

Output
- Fermi-level density of states (states/eV per atom) = 0.00
- total energy (eV/atom) = -5.844

Cell: 5.4171 6.1580 5.9587 Å, 92.96 113.07 123.65°
Last column: magnetic moment on the atom in μB.
Fractional coordinates of all 10 atoms:
Te 0.5836 0.7478 0.3467  0.01
O 0.4620 0.1331 0.1380  -0.02
O 0.8104 0.7407 0.1671  -0.01
O 0.5159 0.9287 0.7441  -0.01
Na 0.0125 0.4707 0.5432  0.00
Cr 0.9706 0.9975 0.9503  2.99
O 0.7556 0.6535 0.6423  -0.02
Te 0.5888 0.2666 0.8869  0.01
O 0.1285 0.1770 0.7068  -0.04
O 0.1376 0.3620 0.1771  -0.02

8.
DFT (GGA+U) results for a relaxed structure of NaCrTeO6.

Output
- Fermi-level density of states (states/eV per atom) = 0.08
- total energy (eV/atom) = -5.736

Cell: 4.7399 4.7399 9.3365 Å, 90.00 90.00 90.00°
Last column: magnetic moment on the atom in μB.
Fractional coordinates of all 18 atoms:
O 0.6776 0.6776 0.0032  -0.09
O 0.3224 0.3224 0.0032  -0.09
O 0.2258 0.7742 0.1892  -0.22
Na 0.0000 0.0000 0.9962  0.00
O 0.7806 0.2194 0.8135  -0.09
Cr 0.0000 0.0000 0.6581  1.87
O 0.2742 0.2742 0.6892  -0.22
O 0.8224 0.1776 0.5032  -0.09
Cr 0.5000 0.5000 0.1581  1.87
O 0.2194 0.7806 0.8135  -0.09
O 0.1776 0.8224 0.5032  -0.09
Te 0.5000 0.5000 0.8340  0.03
O 0.7258 0.7258 0.6892  -0.22
O 0.2806 0.2806 0.3135  -0.09
O 0.7742 0.2258 0.1892  -0.22
Na 0.5000 0.5000 0.4962  0.00
Te 0.0000 0.0000 0.3340  0.03
O 0.7194 0.7194 0.3135  -0.09